# 1
A plane-wave DFT calculation with GGA-PBE was carried out for a relaxed SrNdZn2Ge2 crystal.

Structure (CIF):
```
data_SrNdZn2Ge2
_space_group_name_H-M_alt 'P 1'
_space_group_IT_number 1
_space_group_name_Hall 'P 1'
_cell_length_a 4.311
_cell_length_b 4.311
_cell_length_c 8.765
_cell_angle_alpha 90.00
_cell_angle_beta 90.00
_cell_angle_gamma 120.00
loop_
_atom_site_label
_atom_site_type_symbol
_atom_site_fract_x
_atom_site_fract_y
_atom_site_fract_z
Sr1 Sr 0.000 0.000 0.000
Nd1 Nd 0.000 0.000 0.500
Zn1 Zn 0.333 0.667 0.723
Zn2 Zn 0.667 0.333 0.277
Ge1 Ge 0.333 0.667 0.260
Ge2 Ge 0.667 0.333 0.740
```

## Properties
SG: P-3m1, No. 164
Mass density (g cm⁻³): 5.978
Energy of formation from the pure elements (meV/atom): -597.4

---

# 2
A plane-wave DFT calculation with GGA-PBE was carried out for a relaxed NdTa4Ge2 crystal.

Structure (CIF):
```
data_NdTa4Ge2
_space_group_name_H-M_alt 'P 1'
_space_group_IT_number 1
_space_group_name_Hall 'P 1'
_cell_length_a 3.737
_cell_length_b 17.015
_cell_length_c 4.355
_cell_angle_alpha 90.00
_cell_angle_beta 90.00
_cell_angle_gamma 90.00
loop_
_atom_site_label
_atom_site_type_symbol
_atom_site_fract_x
_atom_site_fract_y
_atom_site_fract_z
Nd1 Nd 0.000 0.000 0.000
Nd2 Nd 0.500 0.500 0.000
Ta1 Ta 0.000 0.184 0.500
Ta2 Ta 0.000 0.320 0.000
Ta3 Ta 0.000 0.680 0.000
Ta4 Ta 0.000 0.816 0.500
Ta5 Ta 0.500 0.180 0.000
Ta6 Ta 0.500 0.316 0.500
Ta7 Ta 0.500 0.684 0.500
Ta8 Ta 0.500 0.820 0.000
Ge1 Ge 0.000 0.426 0.500
Ge2 Ge 0.000 0.574 0.500
Ge3 Ge 0.500 0.074 0.500
Ge4 Ge 0.500 0.926 0.500
```

## Properties
SG: Cmmm, No. 65
Mass density (g cm⁻³): 12.153
Energy of formation from the pure elements (meV/atom): -318.2

---

# 3
A plane-wave DFT calculation with GGA-PBE was carried out for a relaxed NdTaGe2 crystal.

Structure (CIF):
```
data_NdTaGe2
_space_group_name_H-M_alt 'P 1'
_space_group_IT_number 1
_space_group_name_Hall 'P 1'
_cell_length_a 3.968
_cell_length_b 3.968
_cell_length_c 19.554
_cell_angle_alpha 90.00
_cell_angle_beta 90.00
_cell_angle_gamma 120.00
loop_
_atom_site_label
_atom_site_type_symbol
_atom_site_fract_x
_atom_site_fract_y
_atom_site_fract_z
Nd1 Nd 0.000 0.000 0.000
Nd2 Nd 0.333 0.667 0.667
Nd3 Nd 0.667 0.333 0.333
Ta1 Ta 0.000 0.000 0.500
Ta2 Ta 0.333 0.667 0.167
Ta3 Ta 0.667 0.333 0.833
Ge1 Ge 0.000 0.000 0.237
Ge2 Ge 0.000 0.000 0.763
Ge3 Ge 0.333 0.667 0.430
Ge4 Ge 0.333 0.667 0.904
Ge5 Ge 0.667 0.333 0.096
Ge6 Ge 0.667 0.333 0.570
```

## Properties
SG: R-3m, No. 166
Mass density (g cm⁻³): 8.791
Energy of formation from the pure elements (meV/atom): -413.9

---

# 4
A plane-wave DFT calculation with GGA-PBE was carried out for a relaxed TbNd2Ge crystal.

Structure (CIF):
```
data_TbNd2Ge
_space_group_name_H-M_alt 'P 1'
_space_group_IT_number 1
_space_group_name_Hall 'P 1'
_cell_length_a 4.753
_cell_length_b 4.753
_cell_length_c 4.818
_cell_angle_alpha 90.00
_cell_angle_beta 90.00
_cell_angle_gamma 90.00
loop_
_atom_site_label
_atom_site_type_symbol
_atom_site_fract_x
_atom_site_fract_y
_atom_site_fract_z
Tb1 Tb 0.000 0.000 0.000
Nd1 Nd 0.000 0.500 0.500
Nd2 Nd 0.500 0.000 0.500
Ge1 Ge 0.500 0.500 0.000
```

## Properties
SG: P4/mmm, No. 123
Mass density (g cm⁻³): 7.932
Energy above the lowest structure with this stoichiometry (eV per atom): 0.0000
Energy of formation from the pure elements (meV/atom): -334.5

---

# 5
A plane-wave DFT calculation with GGA-PBE was carried out for a relaxed TbNdGe2 crystal.

Structure (CIF):
```
data_TbNdGe2
_space_group_name_H-M_alt 'P 1'
_space_group_IT_number 1
_space_group_name_Hall 'P 1'
_cell_length_a 4.817
_cell_length_b 4.817
_cell_length_c 4.106
_cell_angle_alpha 90.00
_cell_angle_beta 90.00
_cell_angle_gamma 90.00
loop_
_atom_site_label
_atom_site_type_symbol
_atom_site_fract_x
_atom_site_fract_y
_atom_site_fract_z
Tb1 Tb 0.000 0.000 0.000
Nd1 Nd 0.500 0.500 0.000
Ge1 Ge 0.000 0.500 0.500
Ge2 Ge 0.500 0.000 0.500
```

## Properties
SG: P4/mmm, No. 123
Mass density (g cm⁻³): 7.816
Energy above the lowest structure with this stoichiometry (eV per atom): 0.2299
Energy of formation from the pure elements (meV/atom): -624.6

---

# 6
A plane-wave DFT calculation with GGA-PBE was carried out for a relaxed TbNd2Ge crystal.

Structure (CIF):
```
data_TbNd2Ge
_space_group_name_H-M_alt 'P 1'
_space_group_IT_number 1
_space_group_name_Hall 'P 1'
_cell_length_a 3.708
_cell_length_b 3.708
_cell_length_c 33.196
_cell_angle_alpha 90.00
_cell_angle_beta 90.00
_cell_angle_gamma 120.00
loop_
_atom_site_label
_atom_site_type_symbol
_atom_site_fract_x
_atom_site_fract_y
_atom_site_fract_z
Tb1 Tb 0.000 0.000 0.000
Tb2 Tb 0.333 0.667 0.667
Tb3 Tb 0.667 0.333 0.333
Nd1 Nd 0.000 0.000 0.105
Nd2 Nd 0.000 0.000 0.895
Nd3 Nd 0.333 0.667 0.562
Nd4 Nd 0.333 0.667 0.772
Nd5 Nd 0.667 0.333 0.228
Nd6 Nd 0.667 0.333 0.438
Ge1 Ge 0.000 0.000 0.500
Ge2 Ge 0.333 0.667 0.167
Ge3 Ge 0.667 0.333 0.833
```

## Properties
SG: R-3m, No. 166
Mass density (g cm⁻³): 6.554
Energy above the lowest structure with this stoichiometry (eV per atom): 0.3310
Energy of formation from the pure elements (meV/atom): -3.5

---

# 7
A plane-wave DFT calculation with GGA-PBE was carried out for a relaxed TbNdGe4 crystal.

Structure (CIF):
```
data_TbNdGe4
_space_group_name_H-M_alt 'P 1'
_space_group_IT_number 1
_space_group_name_Hall 'P 1'
_cell_length_a 5.690
_cell_length_b 5.690
_cell_length_c 5.690
_cell_angle_alpha 60.00
_cell_angle_beta 60.00
_cell_angle_gamma 60.00
loop_
_atom_site_label
_atom_site_type_symbol
_atom_site_fract_x
_atom_site_fract_y
_atom_site_fract_z
Tb1 Tb 0.000 0.000 0.000
Nd1 Nd 0.250 0.250 0.250
Ge1 Ge 0.121 0.626 0.626
Ge2 Ge 0.626 0.121 0.626
Ge3 Ge 0.626 0.626 0.121
Ge4 Ge 0.626 0.626 0.626
```

## Properties
SG: F-43m, No. 216
Mass density (g cm⁻³): 7.570
Energy above the lowest structure with this stoichiometry (eV per atom): 0.2183
Energy of formation from the pure elements (meV/atom): -345.3

---

# 8
A plane-wave DFT calculation with GGA-PBE was carried out for a relaxed Tb2NdGe2 crystal.

Structure (CIF):
```
data_Tb2NdGe2
_space_group_name_H-M_alt 'P 1'
_space_group_IT_number 1
_space_group_name_Hall 'P 1'
_cell_length_a 5.742
_cell_length_b 4.281
_cell_length_c 11.327
_cell_angle_alpha 90.00
_cell_angle_beta 97.23
_cell_angle_gamma 90.00
loop_
_atom_site_label
_atom_site_type_symbol
_atom_site_fract_x
_atom_site_fract_y
_atom_site_fract_z
Tb1 Tb 0.098 0.250 0.370
Tb2 Tb 0.256 0.250 0.050
Tb3 Tb 0.744 0.750 0.950
Tb4 Tb 0.902 0.750 0.630
Nd1 Nd 0.411 0.250 0.720
Nd2 Nd 0.589 0.750 0.280
Ge1 Ge 0.227 0.750 0.874
Ge2 Ge 0.354 0.750 0.521
Ge3 Ge 0.646 0.250 0.479
Ge4 Ge 0.773 0.250 0.126
```

## Properties
SG: P2_1/m, No. 11
Mass density (g cm⁻³): 7.302
Energy above the lowest structure with this stoichiometry (eV per atom): 0.1290
Energy of formation from the pure elements (meV/atom): -593.5

---

# 9
A plane-wave DFT calculation with GGA-PBE was carried out for a relaxed TbNdGe2 crystal.

Structure (CIF):
```
data_TbNdGe2
_space_group_name_H-M_alt 'P 1'
_space_group_IT_number 1
_space_group_name_Hall 'P 1'
_cell_length_a 4.287
_cell_length_b 4.287
_cell_length_c 20.191
_cell_angle_alpha 90.00
_cell_angle_beta 90.00
_cell_angle_gamma 120.00
loop_
_atom_site_label
_atom_site_type_symbol
_atom_site_fract_x
_atom_site_fract_y
_atom_site_fract_z
Tb1 Tb 0.000 0.000 0.000
Tb2 Tb 0.333 0.667 0.667
Tb3 Tb 0.667 0.333 0.333
Nd1 Nd 0.000 0.000 0.500
Nd2 Nd 0.333 0.667 0.167
Nd3 Nd 0.667 0.333 0.833
Ge1 Ge 0.000 0.000 0.253
Ge2 Ge 0.000 0.000 0.747
Ge3 Ge 0.333 0.667 0.413
Ge4 Ge 0.333 0.667 0.920
Ge5 Ge 0.667 0.333 0.080
Ge6 Ge 0.667 0.333 0.587
```

## Properties
SG: R-3m, No. 166
Mass density (g cm⁻³): 6.952
Energy above the lowest structure with this stoichiometry (eV per atom): 0.1966
Energy of formation from the pure elements (meV/atom): -657.9

---

# 10
A plane-wave DFT calculation with GGA-PBE was carried out for a relaxed TbNdGe4 crystal.

Structure (CIF):
```
data_TbNdGe4
_space_group_name_H-M_alt 'P 1'
_space_group_IT_number 1
_space_group_name_Hall 'P 1'
_cell_length_a 7.487
_cell_length_b 17.850
_cell_length_c 4.095
_cell_angle_alpha 90.00
_cell_angle_beta 90.00
_cell_angle_gamma 90.00
loop_
_atom_site_label
_atom_site_type_symbol
_atom_site_fract_x
_atom_site_fract_y
_atom_site_fract_z
Tb1 Tb 0.240 0.047 0.000
Tb2 Tb 0.260 0.547 0.000
Tb3 Tb 0.740 0.453 0.000
Tb4 Tb 0.760 0.953 0.000
Nd1 Nd 0.169 0.310 0.000
Nd2 Nd 0.331 0.810 0.000
Nd3 Nd 0.669 0.190 0.000
Nd4 Nd 0.831 0.690 0.000
Ge1 Ge 0.021 0.792 0.500
Ge2 Ge 0.073 0.436 0.500
Ge3 Ge 0.080 0.935 0.500
Ge4 Ge 0.188 0.670 0.500
Ge5 Ge 0.312 0.170 0.500
Ge6 Ge 0.420 0.435 0.500
Ge7 Ge 0.427 0.936 0.500
Ge8 Ge 0.479 0.292 0.500
Ge9 Ge 0.521 0.708 0.500
Ge10 Ge 0.573 0.064 0.500
Ge11 Ge 0.580 0.565 0.500
Ge12 Ge 0.688 0.830 0.500
Ge13 Ge 0.812 0.330 0.500
Ge14 Ge 0.920 0.065 0.500
Ge15 Ge 0.927 0.564 0.500
Ge16 Ge 0.979 0.208 0.500
```

## Properties
SG: Pbam, No. 55
Mass density (g cm⁻³): 7.206
Energy above the lowest structure with this stoichiometry (eV per atom): 0.0000
Energy of formation from the pure elements (meV/atom): -563.6

---

# 11
A plane-wave DFT calculation with GGA-PBE was carried out for a relaxed TbNd2Ge2 crystal.

Structure (CIF):
```
data_TbNd2Ge2
_space_group_name_H-M_alt 'P 1'
_space_group_IT_number 1
_space_group_name_Hall 'P 1'
_cell_length_a 7.746
_cell_length_b 7.746
_cell_length_c 4.408
_cell_angle_alpha 90.00
_cell_angle_beta 90.00
_cell_angle_gamma 90.00
loop_
_atom_site_label
_atom_site_type_symbol
_atom_site_fract_x
_atom_site_fract_y
_atom_site_fract_z
Tb1 Tb 0.000 0.000 0.000
Tb2 Tb 0.500 0.500 0.000
Nd1 Nd 0.175 0.325 0.500
Nd2 Nd 0.325 0.825 0.500
Nd3 Nd 0.675 0.175 0.500
Nd4 Nd 0.825 0.675 0.500
Ge1 Ge 0.122 0.622 0.000
Ge2 Ge 0.378 0.122 0.000
Ge3 Ge 0.622 0.878 0.000
Ge4 Ge 0.878 0.378 0.000
```

## Properties
SG: P4/mbm, No. 127
Mass density (g cm⁻³): 7.443
Energy above the lowest structure with this stoichiometry (eV per atom): 0.0000
Energy of formation from the pure elements (meV/atom): -772.4

---

# 12
A plane-wave DFT calculation with GGA-PBE was carried out for a relaxed TbNdGe2 crystal.

Structure (CIF):
```
data_TbNdGe2
_space_group_name_H-M_alt 'P 1'
_space_group_IT_number 1
_space_group_name_Hall 'P 1'
_cell_length_a 4.034
_cell_length_b 4.399
_cell_length_c 10.946
_cell_angle_alpha 90.00
_cell_angle_beta 90.00
_cell_angle_gamma 90.00
loop_
_atom_site_label
_atom_site_type_symbol
_atom_site_fract_x
_atom_site_fract_y
_atom_site_fract_z
Tb1 Tb 0.000 0.000 0.000
Tb2 Tb 0.000 0.500 0.500
Nd1 Nd 0.500 0.000 0.276
Nd2 Nd 0.500 0.500 0.776
Ge1 Ge 0.000 0.000 0.719
Ge2 Ge 0.000 0.500 0.219
Ge3 Ge 0.500 0.000 0.553
Ge4 Ge 0.500 0.500 0.053
```

## Properties
SG: Amm2, No. 38
Mass density (g cm⁻³): 7.668
Energy above the lowest structure with this stoichiometry (eV per atom): 0.0000
Energy of formation from the pure elements (meV/atom): -854.5

---

energy of formation from the pure elements of number 4 (TbNd2Ge)?
-334.5 meV/atom